[1]
First-principles (PBE-GGA) data for a relaxed structure of InAgTePdSe2, as listed in OQMD.

Properties
The value obtained for the total energy is -3.580 eV/atom.

Cell lengths 7.708, 7.708, 9.642 Å; angles 90.00, 90.00, 151.90 degrees
Positions (direct):
In 0.204 0.796 0.750
In 0.796 0.204 0.250
Ag 0.481 0.519 0.250
Ag 0.519 0.481 0.750
Te 0.118 0.882 0.250
Te 0.882 0.118 0.750
Pd 0.000 0.000 0.000
Pd 0.000 0.000 0.500
Se 0.369 0.631 0.038
Se 0.369 0.631 0.462
Se 0.631 0.369 0.538
Se 0.631 0.369 0.962


[2]
First-principles (PBE-GGA) data for a relaxed structure of Sm3In3Ag2Pd, as listed in OQMD.

Properties
The value obtained for the total energy is -4.238 eV/atom.

Cell lengths 7.821, 7.821, 4.065 Å; angles 90.00, 90.00, 120.00 degrees
Positions (direct):
Sm 0.000 0.405 0.000
Sm 0.405 0.000 0.000
Sm 0.595 0.595 0.000
In 0.000 0.749 0.500
In 0.251 0.251 0.500
In 0.749 0.000 0.500
Ag 0.333 0.667 0.500
Ag 0.667 0.333 0.500
Pd 0.000 0.000 0.000


[3]
First-principles (PBE-GGA) data for a relaxed structure of Tb3In3Ag2Pd, as listed in OQMD.

Properties
The value obtained for the total energy is -4.215 eV/atom.

Cell lengths 7.770, 7.770, 3.947 Å; angles 90.00, 90.00, 120.00 degrees
Positions (direct):
Tb 0.000 0.596 0.000
Tb 0.404 0.404 0.000
Tb 0.596 0.000 0.000
In 0.000 0.254 0.500
In 0.254 0.000 0.500
In 0.746 0.746 0.500
Ag 0.333 0.667 0.500
Ag 0.667 0.333 0.500
Pd 0.000 0.000 0.000